Computed, not measured: a relaxed CsLuBiTe3 crystal at the PBE level of DFT.

Cell lengths 9.143, 9.143, 13.144 Å; angles 90.00, 90.00, 150.80 degrees
Sites, in units of the cell vectors:
Bi: 0.500 0.500 0.000
Bi: 0.500 0.500 0.500
Cs: 0.255 0.745 0.250
Cs: 0.745 0.255 0.750
Lu: 0.981 0.019 0.250
Lu: 0.019 0.981 0.750
Te: 0.885 0.115 0.072
Te: 0.581 0.419 0.250
Te: 0.885 0.115 0.428
Te: 0.115 0.885 0.572
Te: 0.419 0.581 0.750
Te: 0.115 0.885 0.928

total moment = 0.001 μB/atom
DFT total energy = -47.2 eV/cell
distance to the lowest polymorph of the same formula = 0 meV per atom